# 1
First-principles (PBE) data for crystalline Li3Ca2Zn12Pd at its relaxed geometry, as listed in the Alexandria database.

Its density of states at the Fermi level is 20.61 states/eV/cell. The energy relative to the elements comes out at -79 meV/atom.

The structure belongs to space group R-3m (No. 166, hexagonal axes); the cell edges are 6.3145, 6.3145 and 29.7254 Å and the angles 90.00°, 90.00° and 120.00°. Symmetry generates all atoms from Li at (0.0000, 0.5000, 0.0000), Ca at (0.0000, 0.0000, 0.1453), Zn at (0.0261, 0.5130, 0.1004), Zn at (0.0676, 0.5338, 0.6163) and Pd at (0.0000, 0.0000, 0.5000).

# 2
First-principles (PBE) data for crystalline Li2CaZnPd at its relaxed geometry, as listed in the Alexandria database.

Its density of states at the Fermi level is 2.56 states/eV/cell. The energy above the lowest structure with this stoichiometry is 0.000 eV per atom. The energy relative to the elements comes out at -202 meV/atom.

The structure belongs to space group P4/mmm (No. 123); the cell edges are 4.730, 4.730 and 4.912 Å and the angles 90.00°, 90.00° and 90.00°. Symmetry generates all atoms from Li at (0.000, 0.500, 0.000), Ca at (0.000, 0.000, 0.500), Zn at (0.500, 0.500, 0.500) and Pd at (0.500, 0.500, 0.000).

# 3
First-principles (PBE) data for crystalline Li2CaPm at its relaxed geometry, as listed in the Alexandria database.

Its density of states at the Fermi level is 11.34 states/eV/cell. The energy above the lowest structure with this stoichiometry is 0.064 eV per atom. The energy relative to the elements comes out at 158 meV/atom.

The structure belongs to space group R3m (No. 160, hexagonal axes); the cell edges are 3.5675, 3.5675 and 33.4332 Å and the angles 90.00°, 90.00° and 120.00°. Symmetry generates all atoms from Li at (0.0000, 0.0000, 0.0000), Li at (0.0000, 0.0000, 0.1638), Ca at (0.0000, 0.0000, 0.5817) and Pm at (0.0000, 0.0000, 0.7485).

# 4
First-principles (PBE) data for crystalline Li2CaPm at its relaxed geometry, as listed in the Alexandria database.

Its density of states at the Fermi level is 4.74 states/eV/cell. The energy above the lowest structure with this stoichiometry is 0.000 eV per atom. The energy relative to the elements comes out at 94 meV/atom.

The structure belongs to space group P4/mmm (No. 123); the cell edges are 3.839, 3.839 and 7.865 Å and the angles 90.00°, 90.00° and 90.00°. Symmetry generates all atoms from Li at (0.000, 0.000, 0.242), Ca at (0.500, 0.500, 0.500) and Pm at (0.500, 0.500, 0.000).

# 5
First-principles (PBE) data for crystalline Li2CaPm at its relaxed geometry, as listed in the Alexandria database.

Its density of states at the Fermi level is 18.04 states/eV/cell. The energy above the lowest structure with this stoichiometry is 0.020 eV per atom. The energy relative to the elements comes out at 114 meV/atom.

The structure belongs to space group Fm-3m (No. 225); the cell edges are 7.713, 7.713 and 7.713 Å and the angles 90.00°, 90.00° and 90.00°. Symmetry generates all atoms from Li at (0.250, 0.250, 0.250), Ca at (0.000, 0.000, 0.000) and Pm at (0.000, 0.000, 0.500).

# 6
First-principles (PBE) data for crystalline Li4CaPm at its relaxed geometry, as listed in the Alexandria database.

Its density of states at the Fermi level is 26.98 states/eV/cell. The energy relative to the elements comes out at 73 meV/atom.

The structure belongs to space group F-43m (No. 216); the cell edges are 8.553, 8.553 and 8.553 Å and the angles 90.00°, 90.00° and 90.00°. Symmetry generates all atoms from Li at (0.125, 0.125, 0.125), Ca at (0.000, 0.000, 0.500) and Pm at (0.250, 0.250, 0.750).